# 1
# GdAsAuO (PBE-GGA, optimized geometry)
# - Total DFT energy (no corrections): -42.40 eV/cell
data_GdAsAuO
_cell_length_a 5.887
_cell_length_b 5.887
_cell_length_c 4.718
_cell_angle_alpha 90.00
_cell_angle_beta 90.00
_cell_angle_gamma 90.00
_space_group_name_H-M_alt 'P 4/n m m'
_space_group_IT_number 129
loop_
_space_group_symop_operation_xyz
'x,y,z'
'-x,-y,-z'
'-y+1/2,x,z'
'y+1/2,-x,-z'
'-x+1/2,-y+1/2,z'
'x+1/2,y+1/2,-z'
'y,-x+1/2,z'
'-y,x+1/2,-z'
'x+1/2,-y,-z'
'-x+1/2,y,z'
'-y,-x,-z'
'y,x,z'
'-x,y+1/2,-z'
'x,-y+1/2,z'
'y+1/2,x+1/2,-z'
'-y+1/2,-x+1/2,z'
loop_
_atom_site_label
_atom_site_fract_x
_atom_site_fract_y
_atom_site_fract_z
Gd1 0.250 0.750 0.000
As1 0.250 0.250 0.004
Au1 0.250 0.250 0.504
O1 0.250 0.750 0.500

# 2
# ScSbPt (PBE-GGA, optimized geometry)
# - Total DFT energy (no corrections): -57.59 eV/cell
data_ScSbPt
_cell_length_a 7.0670
_cell_length_b 7.0670
_cell_length_c 4.1275
_cell_angle_alpha 90.00
_cell_angle_beta 90.00
_cell_angle_gamma 120.00
_space_group_name_H-M_alt 'P -6 2 m'
_space_group_IT_number 189
_space_group_name_Hall 'P -6 -2'
loop_
_atom_site_label
_atom_site_fract_x
_atom_site_fract_y
_atom_site_fract_z
Sc1 0.0000 0.5826 0.0000
Sb1 0.0000 0.0000 0.0000
Sb2 0.3333 0.6667 0.5000
Pt1 0.0000 0.2633 0.5000

# 3
# NdLu2Sn7 (PBE-GGA, optimized geometry)
# - Total DFT energy (no corrections): -93.46 eV/cell
data_NdLu2Sn7
_cell_length_a 4.424
_cell_length_b 26.352
_cell_length_c 4.482
_cell_angle_alpha 90.00
_cell_angle_beta 90.00
_cell_angle_gamma 90.00
_space_group_name_H-M_alt 'C m m m'
_space_group_IT_number 65
_space_group_name_Hall '-C 2 2'
loop_
_atom_site_label
_atom_site_fract_x
_atom_site_fract_y
_atom_site_fract_z
Nd1 0.000 0.000 0.000
Lu1 0.000 0.308 0.500
Sn1 0.000 0.100 0.500
Sn2 0.000 0.210 0.000
Sn3 0.000 0.399 0.000
Sn4 0.000 0.500 0.500